[1]
PrPaSi2 | PBE | optimized geometry

The calculation puts the total energy at -6.63 eV/atom. The value obtained for the polymorph energy (0 for the lowest one) is 91 meV per atom. Its crystal system is tetragonal. The value obtained for the raw formation energy is -353 meV per atom.

a = 3.3243 Å, b = 3.3243 Å, c = 8.0450 Å
α = 90.00°, β = 90.00°, γ = 90.00°
Space group P4/mmm (No. 123)
Symmetry-distinct sites (fractional):
Pr  0.0000  0.0000  0.0000
Pa  0.0000  0.0000  0.5000
Si  0.5000  0.5000  0.2625

=====

[2]
BeAlAs2 | PBE | optimized geometry

The calculation puts the total energy at -3.84 eV/atom. The value obtained for the polymorph energy (0 for the lowest one) is 520 meV per atom. Its crystal system is orthorhombic. The formation energy comes out at 0.351 eV/atom.

a = 5.5257 Å, b = 6.8335 Å, c = 3.4034 Å
α = 90.00°, β = 90.00°, γ = 90.00°
Space group Cmmm (No. 65)
Symmetry-distinct sites (fractional):
Be  0.0000  0.0000  0.0000
Al  0.0000  0.5000  0.0000
As  0.2500  0.2500  0.5000

=====

[3]
Nb3FeSi | PBE | optimized geometry

The calculation puts the total energy at -7.74 eV/atom. Its crystal system is cubic. The value obtained for the raw formation energy is 1077 meV per atom.

a = 4.6057 Å, b = 4.6057 Å, c = 4.6057 Å
α = 90.00°, β = 90.00°, γ = 90.00°
Space group Pm-3m (No. 221)
Symmetry-distinct sites (fractional):
Nb  0.0000  0.0000  0.5000
Fe  0.5000  0.5000  0.5000
Si  0.0000  0.0000  0.0000

=====

[4]
Th4ReSe3 | PBE | optimized geometry

The calculation puts the total energy at -7.73 eV/atom. Its crystal system is monoclinic. The value obtained for the raw formation energy is -1153 meV per atom.

a = 7.4389 Å, b = 8.5452 Å, c = 7.2672 Å
α = 90.00°, β = 109.25°, γ = 90.00°
Space group P2/c (No. 13)
Symmetry-distinct sites (fractional):
Th  0.2258  0.1135  0.0065
Th  0.2340  0.3625  0.4847
Re  0.0000  0.1268  0.2500
Se  0.0000  0.3736  0.7500
Se  0.5000  0.1306  0.7500
Se  0.5000  0.3828  0.2500